{"formula": "PrSiCl", "functional": "PBE", "state": "relaxed", "formation_energy_uncorrected_ev_per_atom": -0.782, "magmom_total_mub_per_atom": 0.00, "space_group": "Immm (71)", "dos_at_fermi_per_ev_atom": 0.492, "cell": [[-1.790, -1.824, 3.937], [-1.988, -2.021, -1.840], [8.746, -4.818, -1.053]], "species": ["Cl", "Cl", "Si", "Si", "Pr", "Pr"], "frac_coords": [[0.690, 0.190, 0.381], [0.310, 0.810, 0.619], [0.751, 0.500, 0.000], [0.249, 0.500, 0.000], [0.144, 0.644, 0.288], [0.856, 0.356, 0.712]]}